Entry 1:
DFT (GGA-PBE) results for a relaxed structure of Cu3PdAu2.

uncorrected energy = -3.877 eV per atom
density of states at the Fermi level = 0.329 states/eV/atom
ΔE_f = 75 kJ/mol of formula units
magnetic moment = 0.000 μB/atom
excess energy over the best structure of this formula in the dataset = 0.217 eV/atom

The structure in CIF format:
```
data_Cu3PdAu2
_chemical_formula_sum 'Cu6 Pd2 Au4'
_cell_length_a 4.498
_cell_length_b 5.187
_cell_length_c 8.157
_cell_angle_alpha 90.00
_cell_angle_beta 90.00
_cell_angle_gamma 90.00
_symmetry_space_group_name_H-M 'I m m m'
_symmetry_Int_Tables_number 71
_symmetry_space_group_name_Hall '-I 2 2'
loop_
_atom_site_label
_atom_site_type_symbol
_atom_site_fract_x
_atom_site_fract_y
_atom_site_fract_z
Cu1 Cu 0.000 0.000 0.000
Cu2 Cu 0.000 0.000 0.337
Pd1 Pd 0.000 0.500 0.000
Au1 Au 0.000 0.500 0.331
```

Entry 2:
DFT (GGA-PBE) results for a relaxed structure of LiAlCr.

uncorrected energy = -4.490 eV per atom
density of states at the Fermi level = 0.978 states/eV/atom
ΔE_f = 175 kJ/mol of formula units
magnetic moment = 1.246 μB/atom
excess energy over the best structure of this formula in the dataset = 0.441 eV/atom

The structure in CIF format:
```
data_LiAlCr
_chemical_formula_sum 'Li4 Al4 Cr4'
_cell_length_a 6.171
_cell_length_b 6.171
_cell_length_c 6.171
_cell_angle_alpha 90.00
_cell_angle_beta 90.00
_cell_angle_gamma 90.00
_symmetry_space_group_name_H-M 'F -4 3 m'
_symmetry_Int_Tables_number 216
_symmetry_space_group_name_Hall 'F -4 2 3'
loop_
_atom_site_label
_atom_site_type_symbol
_atom_site_fract_x
_atom_site_fract_y
_atom_site_fract_z
Li1 Li 0.000 0.000 0.000
Al1 Al 0.250 0.250 0.250
Cr1 Cr 0.000 0.000 0.500
```

Entry 3:
DFT (GGA-PBE) results for a relaxed structure of Pr2GaAu2.

uncorrected energy = -4.557 eV per atom
density of states at the Fermi level = 0.885 states/eV/atom
ΔE_f = -352 kJ/mol of formula units
magnetic moment = 0.000 μB/atom

The structure in CIF format:
```
data_Pr2GaAu2
_chemical_formula_sum 'Pr8 Ga4 Au8'
_cell_length_a 11.078
_cell_length_b 4.478
_cell_length_c 11.290
_cell_angle_alpha 90.00
_cell_angle_beta 117.67
_cell_angle_gamma 90.00
_symmetry_space_group_name_H-M 'C 1 2/m 1'
_symmetry_Int_Tables_number 12
loop_
_symmetry_equiv_pos_as_xyz
'x,y,z'
'-x,-y,-z'
'-x,y,-z'
'x,-y,z'
'x+1/2,y+1/2,z'
'-x+1/2,-y+1/2,-z'
'-x+1/2,y+1/2,-z'
'x+1/2,-y+1/2,z'
loop_
_atom_site_label
_atom_site_type_symbol
_atom_site_fract_x
_atom_site_fract_y
_atom_site_fract_z
Pr1 Pr 0.014 0.000 0.343
Pr2 Pr 0.191 0.000 0.109
Ga1 Ga 0.219 0.500 0.345
Au1 Au 0.025 0.500 0.883
Au2 Au 0.148 0.500 0.570
```

Entry 4:
DFT (GGA-PBE) results for a relaxed structure of Sm3DyN4.

uncorrected energy = -8.038 eV per atom
density of states at the Fermi level = 0.088 states/eV/atom
magnetic moment = 0.000 μB/atom
uncorrected formation energy = -1.53 eV per atom
excess energy over the best structure of this formula in the dataset = 0.000 eV/atom

The structure in CIF format:
```
data_Sm3DyN4
_chemical_formula_sum 'Sm6 Dy2 N8'
_cell_length_a 6.164
_cell_length_b 7.125
_cell_length_c 6.165
_cell_angle_alpha 90.00
_cell_angle_beta 109.45
_cell_angle_gamma 90.00
_symmetry_space_group_name_H-M 'P 1 2/c 1'
_symmetry_Int_Tables_number 13
loop_
_symmetry_equiv_pos_as_xyz
'x,y,z'
'-x,-y,-z'
'-x,y,-z+1/2'
'x,-y,z+1/2'
loop_
_atom_site_label
_atom_site_type_symbol
_atom_site_fract_x
_atom_site_fract_y
_atom_site_fract_z
Sm1 Sm 0.000 0.125 0.250
Sm2 Sm 0.000 0.373 0.750
Sm3 Sm 0.500 0.373 0.250
Dy1 Dy 0.500 0.125 0.750
N1 N 0.252 0.369 0.503
N2 N 0.255 0.124 0.999
```

Entry 5:
DFT (GGA-PBE) results for a relaxed structure of AlTlCu2.

uncorrected energy = -3.396 eV per atom
density of states at the Fermi level = 0.313 states/eV/atom
ΔE_f = 69 kJ/mol of formula units
magnetic moment = 0.000 μB/atom
excess energy over the best structure of this formula in the dataset = 0.073 eV/atom

The structure in CIF format:
```
data_AlTlCu2
_chemical_formula_sum 'Al2 Tl2 Cu4'
_cell_length_a 8.594
_cell_length_b 3.414
_cell_length_c 4.826
_cell_angle_alpha 90.00
_cell_angle_beta 101.62
_cell_angle_gamma 90.00
_symmetry_space_group_name_H-M 'C 1 m 1'
_symmetry_Int_Tables_number 8
loop_
_symmetry_equiv_pos_as_xyz
'x,y,z'
'x,-y,z'
'x+1/2,y+1/2,z'
'x+1/2,-y+1/2,z'
loop_
_atom_site_label
_atom_site_type_symbol
_atom_site_fract_x
_atom_site_fract_y
_atom_site_fract_z
Al1 Al 0.000 0.000 0.000
Tl1 Tl 0.274 0.500 0.352
Cu1 Cu 0.035 0.500 0.640
Cu2 Cu 0.270 0.000 0.838
```

Entry 6:
DFT (GGA-PBE) results for a relaxed structure of Pr2Nd2Er7.

uncorrected energy = -4.488 eV per atom
density of states at the Fermi level = 1.596 states/eV/atom
ΔE_f = 161 kJ/mol of formula units
magnetic moment = 0.000 μB/atom
excess energy over the best structure of this formula in the dataset = 0.000 eV/atom

The structure in CIF format:
```
data_Pr2Nd2Er7
_chemical_formula_sum 'Pr4 Nd4 Er14'
_cell_length_a 11.303
_cell_length_b 11.637
_cell_length_c 6.090
_cell_angle_alpha 90.00
_cell_angle_beta 113.97
_cell_angle_gamma 90.00
_symmetry_space_group_name_H-M 'C 1 2/m 1'
_symmetry_Int_Tables_number 12
loop_
_symmetry_equiv_pos_as_xyz
'x,y,z'
'-x,-y,-z'
'-x,y,-z'
'x,-y,z'
'x+1/2,y+1/2,z'
'-x+1/2,-y+1/2,-z'
'-x+1/2,y+1/2,-z'
'x+1/2,-y+1/2,z'
loop_
_atom_site_label
_atom_site_type_symbol
_atom_site_fract_x
_atom_site_fract_y
_atom_site_fract_z
Pr1 Pr 0.000 0.209 0.000
Nd1 Nd 0.099 0.500 0.313
Er1 Er 0.000 0.000 0.500
Er2 Er 0.172 0.238 0.675
Er3 Er 0.235 0.000 0.076
```

Entry 7:
DFT (GGA-PBE) results for a relaxed structure of CdIrSe2.

uncorrected energy = -4.355 eV per atom
density of states at the Fermi level = 0.821 states/eV/atom
magnetic moment = 0.000 μB/atom
uncorrected formation energy = -0.17 eV per atom

The structure in CIF format:
```
data_CdIrSe2
_chemical_formula_sum 'Cd3 Ir3 Se6'
_cell_length_a 3.7777
_cell_length_b 3.7777
_cell_length_c 24.1376
_cell_angle_alpha 90.00
_cell_angle_beta 90.00
_cell_angle_gamma 120.00
_symmetry_space_group_name_H-M 'R -3 m'
_symmetry_Int_Tables_number 166
_symmetry_space_group_name_Hall '-R 3 2"'
loop_
_atom_site_label
_atom_site_type_symbol
_atom_site_fract_x
_atom_site_fract_y
_atom_site_fract_z
Cd1 Cd 0.0000 0.0000 0.0000
Ir1 Ir 0.0000 0.0000 0.5000
Se1 Se 0.0000 0.0000 0.1154
```

Entry 8:
DFT (GGA-PBE) results for a relaxed structure of NaDy2Tl3.

uncorrected energy = -3.190 eV per atom
density of states at the Fermi level = 0.748 states/eV/atom
ΔE_f = -146 kJ/mol of formula units
magnetic moment = 0.000 μB/atom

The structure in CIF format:
```
data_NaDy2Tl3
_chemical_formula_sum 'Na1 Dy2 Tl3'
_cell_length_a 3.779
_cell_length_b 3.779
_cell_length_c 11.595
_cell_angle_alpha 90.00
_cell_angle_beta 90.00
_cell_angle_gamma 90.00
_symmetry_space_group_name_H-M 'P 4/m m m'
_symmetry_Int_Tables_number 123
_symmetry_space_group_name_Hall '-P 4 2'
loop_
_atom_site_label
_atom_site_type_symbol
_atom_site_fract_x
_atom_site_fract_y
_atom_site_fract_z
Na1 Na 0.000 0.000 0.000
Dy1 Dy 0.000 0.000 0.332
Tl1 Tl 0.500 0.500 0.173
Tl2 Tl 0.500 0.500 0.500
```

Entry 9:
DFT (GGA-PBE) results for a relaxed structure of ZnCuO2.

uncorrected energy = -4.717 eV per atom
density of states at the Fermi level = 0.677 states/eV/atom
magnetic moment = 0.000 μB/atom
uncorrected formation energy = -0.90 eV per atom

The structure in CIF format:
```
data_ZnCuO2
_chemical_formula_sum 'Zn3 Cu3 O6'
_cell_length_a 3.2311
_cell_length_b 3.2311
_cell_length_c 15.9298
_cell_angle_alpha 90.00
_cell_angle_beta 90.00
_cell_angle_gamma 120.00
_symmetry_space_group_name_H-M 'R 3 m'
_symmetry_Int_Tables_number 160
_symmetry_space_group_name_Hall 'R 3 -2"'
loop_
_atom_site_label
_atom_site_type_symbol
_atom_site_fract_x
_atom_site_fract_y
_atom_site_fract_z
Zn1 Zn 0.0000 0.0000 0.0000
Cu1 Cu 0.0000 0.0000 0.4980
O1 O 0.0000 0.0000 0.1275
O2 O 0.0000 0.0000 0.6266
```

Entry 10:
DFT (GGA-PBE) results for a relaxed structure of LiNb2CuH.

uncorrected energy = -5.837 eV per atom
density of states at the Fermi level = 0.548 states/eV/atom
magnetic moment = 0.000 μB/atom

The structure in CIF format:
```
data_LiNb2CuH
_chemical_formula_sum 'Li1 Nb2 Cu1 H1'
_cell_length_a 4.045
_cell_length_b 4.045
_cell_length_c 3.906
_cell_angle_alpha 90.00
_cell_angle_beta 90.00
_cell_angle_gamma 90.00
_symmetry_space_group_name_H-M 'P 4/m m m'
_symmetry_Int_Tables_number 123
_symmetry_space_group_name_Hall '-P 4 2'
loop_
_atom_site_label
_atom_site_type_symbol
_atom_site_fract_x
_atom_site_fract_y
_atom_site_fract_z
Li1 Li 0.000 0.000 0.000
Nb1 Nb 0.000 0.500 0.500
Cu1 Cu 0.500 0.500 0.000
H1 H 0.000 0.000 0.500
```

Q: Which formula does entry 3 have?
A: Pr2GaAu2

Q: density of states at the Fermi level of number 2 (LiAlCr)?
A: 0.978 states/eV/atom

Q: Which value of density of states at the Fermi level does entry 2 give?
A: 0.978 states/eV/atom